1.
Below is an optimized crystal structure of SrZrCl2, with properties calculated at the PBE level.

Properties
Energy relative to the elements, uncorrected, eV per atom: -0.8203
Relative energy among the computed polymorphs, kJ/mol of formula units: 118
Total energy, eV per atom: -4.3011

Cell lengths 5.2172, 5.2172, 9.2308 Å; angles 73.58, 73.58, 90.00 degrees
Last column: magnetic moment on the atom in μB.
Element x y z (fractional)
Zr  0.7500  0.2500  0.5000  0.75
Zr  0.0000  0.0000  0.0000  0.74
Cl  0.8750  0.9494  0.7500  0.01
Cl  0.0506  0.6250  0.2500  0.01
Cl  0.3750  0.3006  0.7500  0.01
Cl  0.6994  0.1250  0.2500  0.01
Sr  0.2500  0.7500  0.5000  0.07
Sr  0.5000  0.5000  0.0000  0.07


2.
Below is an optimized crystal structure of Mg2ZrSe, with properties calculated at the PBE level.

Properties
Energy relative to the elements, uncorrected, eV per atom: -0.2338
Total energy, eV per atom: -4.0393

Cell lengths 9.0876, 9.0876, 9.0876 Å; angles 21.86, 21.86, 21.86 degrees
Element x y z (fractional)
Se  0.2500  0.2500  0.2500
Mg  0.9836  0.9836  0.9836
Mg  0.5164  0.5164  0.5164
Zr  0.7500  0.7500  0.7500